VASP calculation (PBE) on a relaxed PrInRh crystal.

Geometry as POSCAR:
```
PrInRh
1.0
4.695 0.000 0.000
0.000 5.330 -0.302
-2.348 -0.847 5.801
Rh Pr In
2 2 2
direct
0.206 0.845 0.412 Rh
0.794 0.155 0.588 Rh
0.130 0.311 0.259 Pr
0.870 0.689 0.741 Pr
0.416 0.211 0.832 In
0.584 0.789 0.168 In
```

Results
SG   No. 12
Energy relative to the elements   -638 meV/atom
Electronic total energy   -33.57 eV per cell